PBE Hf2CuN, relaxed; space group = No. 122
1.0
6.1388 0.0000 0.0000
0.0000 6.1388 0.0000
3.0694 3.0694 3.5378
Hf Cu N
4 2 2
direct
0.5571 0.1250 0.2500
0.8750 0.8071 0.7500
0.3750 0.4429 0.7500
0.1929 0.6250 0.2500
0.0000 0.0000 0.0000
0.7500 0.2500 0.5000
0.2500 0.7500 0.5000
0.5000 0.5000 0.0000

=====

PBE Hf4Cu2N, relaxed; space group = No. 139; energy relative to the lowest polymorph listed for this composition = 10 meV/atom
1.0
-3.0893 -1.0537 -2.8754
2.5007 -3.2255 -1.5047
-2.9088 -6.1652 2.0940
Hf N Cu
4 1 2
direct
0.0000 0.5000 0.0000
0.8215 0.8215 0.3569
0.1785 0.1785 0.6431
0.5000 0.0000 0.0000
0.0000 0.0000 0.0000
0.3756 0.3756 0.2487
0.6244 0.6244 0.7513

=====

PBE HfCuN2O, relaxed; space group = No. 123
1.0
3.7040 0.0000 0.0000
0.0000 3.7040 0.0000
0.0000 0.0000 3.6772
O N Hf Cu
1 2 1 1
direct
0.0000 0.0000 0.5000
0.0000 0.5000 0.0000
0.5000 0.0000 0.0000
0.5000 0.5000 0.5000
0.0000 0.0000 0.0000

=====

PBE HfCuN2O, relaxed; space group = No. 123
1.0
-3.0429 -2.8696 -0.7382
2.3417 -2.9772 1.9212
-1.7195 0.9182 3.5186
O Cu N Hf
1 1 2 1
direct
0.0000 0.0000 0.5000
0.5000 0.5000 0.5000
0.0000 0.5000 0.0000
0.5000 0.0000 0.0000
0.0000 0.0000 0.0000

=====

PBE HfPa2CuN5, relaxed; space group = No. 36
1.0
-1.8468 -2.6554 0.7112
4.3655 -2.2383 -4.7309
6.5874 -2.6213 7.3189
N Hf Pa Cu
10 2 4 2
direct
0.7079 0.4159 0.1531
0.3527 0.7054 0.0111
0.3026 0.6052 0.3479
0.9576 0.9152 0.5785
0.4928 0.9855 0.7842
0.6974 0.3948 0.8479
0.6473 0.2946 0.5111
0.0424 0.0848 0.0785
0.5072 0.0145 0.2842
0.2921 0.5841 0.6531
0.1907 0.3814 0.9973
0.8093 0.6186 0.4973
0.1301 0.2602 0.2962
0.1179 0.2358 0.6768
0.8699 0.7398 0.7962
0.8821 0.7642 0.1768
0.4924 0.9848 0.4789
0.5076 0.0152 0.9789

=====

PBE Hf2CuRuN, relaxed; space group = No. 123
1.0
4.8568 0.0000 0.0000
0.0000 4.4905 0.0000
0.0000 0.0000 4.8568
Hf N Cu Ru
2 1 1 1
direct
0.5000 0.0000 0.0000
0.0000 0.0000 0.5000
0.5000 0.5000 0.5000
0.0000 0.5000 0.0000
0.0000 0.0000 0.0000

=====

PBE HfCuSN, relaxed; space group = No. 166
1.0
3.6471 0.0000 0.0000
1.8235 3.1585 0.0000
1.8235 1.0528 9.8306
Cu S Hf N
2 2 2 2
direct
0.1914 0.1914 0.4259
0.8086 0.8086 0.5741
0.1079 0.1079 0.6762
0.8921 0.8921 0.3238
0.3768 0.3768 0.8696
0.6232 0.6232 0.1304
0.3041 0.3041 0.0876
0.6959 0.6959 0.9124

=====

PBE HfCuSN2, relaxed; space group = No. 123; energy relative to the lowest polymorph listed for this composition = 889 meV/atom
1.0
3.7134 0.0000 0.0000
0.0000 4.9378 0.0000
0.0000 0.0000 3.7134
N Cu Hf S
2 1 1 1
direct
0.0000 0.0000 0.5000
0.5000 0.0000 0.0000
0.5000 0.5000 0.5000
0.0000 0.5000 0.0000
0.0000 0.0000 0.0000

=====

no.,formation energy without anion corrections (eV/atom)
1,-0.5216
2,-0.4598
3,0.0186
4,0.0947
5,-1.1871
6,1.3765
7,-1.1014
8,1.4165